one.
A relaxed structure of K2CaCo, computed with PBE.

```
4
Lattice="-2.500 4.120 3.301 -5.064 -2.904 -0.220 4.833 -2.699 1.865" Properties=species:S:1:pos:R:3 pbc="T T T"
K -0.725 1.014 3.354
K 0.000 0.000 0.000
Ca -3.782 0.608 1.541
Co -2.006 -2.498 1.593
```

Properties
Size of the total moment ... 1.18 μB per formula unit
Space-group type ... I-4m2, No. 119
Density ... 2.087 g/cm³
Crystal system ... tetragonal

---

two.
A relaxed structure of K2CaCo, computed with PBE.

```
4
Lattice="-3.159 2.700 -0.721 -1.042 0.163 5.175 4.560 5.534 0.743" Properties=species:S:1:pos:R:3 pbc="T T T"
Ca -0.961 2.815 2.413
Co 1.320 5.583 2.784
K 2.429 2.948 0.396
K 4.411 5.353 0.719
```

Properties
Size of the total moment ... 1.68 μB per formula unit
Space-group type ... Pmmm, No. 47
Density ... 1.832 g/cm³
Crystal system ... orthorhombic

---

three.
A relaxed structure of K2CaCo, computed with PBE.

```
4
Lattice="-3.283 -3.396 2.240 -0.992 -2.005 4.725 -7.278 5.759 3.488" Properties=species:S:1:pos:R:3 pbc="T T T"
K -8.138 -0.123 7.573
K -4.377 -4.472 6.539
Ca -5.138 -0.881 5.231
Co -3.951 0.612 3.301
```

Properties
Size of the total moment ... 0.76 μB per formula unit
Space-group type ... Cm, No. 8
Density ... 1.713 g/cm³
Crystal system ... monoclinic

---

The data favor three; the next most stable structure lies 19.2 kJ/mol of atoms above it.

---

one.
A relaxed structure of K2CaCo, computed with PBE.

```
4
Lattice="3.847 0.000 0.000 0.000 3.836 0.258 0.000 2.974 11.125" Properties=species:S:1:pos:R:3 pbc="T T T"
K 0.000 3.075 10.241
K 1.923 1.632 3.292
Ca 0.000 3.320 6.710
Co 1.923 5.162 7.956
```

Properties
Size of the total moment ... 1.14 μB per formula unit
Space-group type ... Pm, No. 6
Density ... 1.825 g/cm³
Crystal system ... monoclinic

---

two.
A relaxed structure of K2CaCo, computed with PBE.

```
4
Lattice="-5.853 -0.503 2.508 -0.800 -3.443 -2.557 1.771 -3.779 3.375" Properties=species:S:1:pos:R:3 pbc="T T T"
K 0.954 -6.987 0.824
K 0.503 -3.846 0.402
Ca -2.684 -2.057 1.458
Co -2.198 -5.668 1.867
```

Properties
Size of the total moment ... 1.36 μB per formula unit
Space-group type ... P2/m, No. 10
Density ... 1.983 g/cm³
Crystal system ... monoclinic

---

The data favor one; the next most stable structure lies 29.5 kJ/mol of atoms above it.

---

one.
A relaxed structure of K2CaCo, computed with PBE.

```
4
Lattice="-10.926 4.692 -4.122 -11.893 4.107 -0.256 -10.018 7.493 -1.373" Properties=species:S:1:pos:R:3 pbc="T T T"
Ca -8.209 4.073 -1.438
K -0.576 0.286 -0.101
K -15.842 7.860 -2.775
Co -24.627 12.218 -4.313
```

Properties
Size of the total moment ... 2.10 μB per formula unit
Space-group type ... R-3m, No. 166
Density ... 1.693 g/cm³
Crystal system ... trigonal

---

two.
A relaxed structure of K2CaCo, computed with PBE.

```
4
Lattice="-3.430 -8.039 6.042 0.863 -10.200 2.849 2.729 10.046 -2.127" Properties=species:S:1:pos:R:3 pbc="T T T"
K -2.321 -16.491 8.039
K -1.529 -10.867 5.298
Ca 1.155 -4.637 2.584
Co -0.992 -3.556 4.180
```

Properties
Size of the total moment ... 0.99 μB per formula unit
Space-group type ... Immm, No. 71
Density ... 1.761 g/cm³
Crystal system ... orthorhombic

---

The data favor two; the next most stable structure lies 31.1 kJ/mol of atoms above it.

---

one.
A relaxed structure of K2CaCo, computed with PBE.

```
4
Lattice="2.032 -5.307 2.014 -0.824 -1.551 5.768 -3.895 -4.379 1.418" Properties=species:S:1:pos:R:3 pbc="T T T"
K -0.672 -2.809 2.300
K -2.015 -8.428 6.900
Co -1.343 -5.619 4.600
Ca 0.000 0.000 0.000
```

Properties
Size of the total moment ... 1.44 μB per formula unit
Space-group type ... Fm-3m, No. 225
Density ... 1.898 g/cm³
Crystal system ... cubic

---

two.
A relaxed structure of K2CaCo, computed with PBE.

```
8
Lattice="-3.054 2.895 2.198 -3.277 -0.951 -3.301 -7.573 -9.227 6.760" Properties=species:S:1:pos:R:3 pbc="T T T"
Ca -7.007 -4.603 1.454
Ca -3.165 0.972 -0.552
Co -6.896 -2.680 4.203
Co 0.000 0.000 0.000
K -4.284 -0.547 2.703
K -7.976 -6.169 4.735
K -4.250 -2.608 -0.151
K -11.297 -5.242 4.026
```

Properties
Size of the total moment ... 1.31 μB per formula unit
Space-group type ... I-42d, No. 122
Density ... 1.963 g/cm³
Crystal system ... tetragonal

---

The data favor two; the next most stable structure lies 8.8 kJ/mol of atoms above it.

---

one.
A relaxed structure of KCa3Co, computed with PBE.

```
5
Lattice="-2.796 -1.840 4.548 2.056 -5.192 -0.837 4.454 1.242 3.241" Properties=species:S:1:pos:R:3 pbc="T T T"
Ca 2.227 0.621 1.620
Ca 1.028 -2.596 -0.419
Ca -1.398 -0.920 2.274
Co 0.000 0.000 0.000
K 1.857 -2.895 3.476
```

Properties
Size of the total moment ... 0.00 μB per formula unit
Space-group type ... Pm-3m, No. 221
Density ... 2.013 g/cm³
Crystal system ... cubic

---

two.
A relaxed structure of KCa3Co, computed with PBE.

```
5
Lattice="-4.892 0.090 3.262 -3.259 -0.434 -4.876 0.166 -5.864 0.411" Properties=species:S:1:pos:R:3 pbc="T T T"
Ca 0.083 -2.932 0.206
Ca -1.630 -0.217 -2.438
Ca -2.446 0.045 1.631
Co -3.993 -3.104 -0.601
K 0.000 0.000 0.000
```

Properties
Size of the total moment ... 1.55 μB per formula unit
Space-group type ... Pm-3m, No. 221
Density ... 1.782 g/cm³
Crystal system ... cubic

---

The data favor one; the next most stable structure lies 140.9 kJ/mol of atoms above it.

---

one.
A relaxed structure of KCaCo3, computed with PBE.

```
5
Lattice="4.764 0.000 0.000 0.000 4.764 0.000 0.000 0.000 4.764" Properties=species:S:1:pos:R:3 pbc="T T T"
K 0.000 0.000 0.000
Co 0.000 2.382 0.000
Co 2.382 0.000 0.000
Co 0.000 0.000 2.382
Ca 2.382 2.382 2.382
```

Properties
Size of the total moment ... 3.77 μB per formula unit
Space-group type ... Pm-3m, No. 221
Density ... 3.931 g/cm³
Crystal system ... cubic

---

two.
A relaxed structure of KCaCo3, computed with PBE.

```
5
Lattice="5.173 0.000 0.000 0.000 5.173 0.000 0.000 0.000 5.173" Properties=species:S:1:pos:R:3 pbc="T T T"
Co 0.000 2.586 0.000
Co 2.586 0.000 0.000
Co 0.000 0.000 2.586
Ca 0.000 0.000 0.000
K 2.586 2.586 2.586
```

Properties
Size of the total moment ... 5.23 μB per formula unit
Space-group type ... Pm-3m, No. 221
Density ... 3.071 g/cm³
Crystal system ... cubic

---

The data favor two; the next most stable structure lies 23.0 kJ/mol of atoms above it.

---

one.
A relaxed structure of CaLa3Co, computed with PBE.

```
5
Lattice="-3.394 4.021 1.802 -4.398 -3.233 -1.071 0.273 -2.078 5.152" Properties=species:S:1:pos:R:3 pbc="T T T"
Co 0.000 0.000 0.000
La -1.697 2.011 0.901
La 0.136 -1.039 2.576
La -2.199 -1.616 -0.535
Ca -3.760 -0.645 2.942
```

Properties
Size of the total moment ... 0.00 μB per formula unit
Space-group type ... Pm-3m, No. 221
Density ... 4.977 g/cm³
Crystal system ... cubic

---

two.
A relaxed structure of CaLa3Co, computed with PBE.

```
10
Lattice="5.527 0.000 1.569 2.517 6.183 1.653 0.078 0.096 10.242" Properties=species:S:1:pos:R:3 pbc="T T T"
Co 5.735 2.047 11.352
Co 2.387 4.232 2.112
Ca 4.145 5.030 6.434
Ca 3.976 1.249 7.030
La 3.099 5.921 10.120
La 2.933 2.073 10.702
La 5.023 0.358 3.344
La 6.305 3.569 9.346
La 1.817 2.709 4.118
La 5.188 4.205 2.762
```

Properties
Size of the total moment ... 0.01 μB per formula unit
Space-group type ... C2/m, No. 12
Density ... 4.911 g/cm³
Crystal system ... monoclinic

---

three.
A relaxed structure of CaLa3Co, computed with PBE.

```
5
Lattice="5.745 0.000 0.000 0.000 5.745 0.000 0.000 0.000 5.745" Properties=species:S:1:pos:R:3 pbc="T T T"
La 0.000 0.000 2.873
La 0.000 2.873 0.000
La 2.873 0.000 0.000
Ca 0.000 0.000 0.000
Co 2.873 2.873 2.873
```

Properties
Size of the total moment ... 1.76 μB per formula unit
Space-group type ... Pm-3m, No. 221
Density ... 4.516 g/cm³
Crystal system ... cubic

---

The data favor one; the next most stable structure lies 1.4 kJ/mol of atoms above it.

---

one.
A relaxed structure of CaLa8Co2, computed with PBE.

```
11
Lattice="-7.199 1.614 -0.407 0.965 -3.021 6.951 2.898 5.088 4.908" Properties=species:S:1:pos:R:3 pbc="T T T"
La -0.022 0.943 3.723
La 0.447 3.375 6.732
La -3.023 3.493 3.917
La -3.314 2.737 7.729
La 0.973 2.331 10.171
La -4.309 1.350 1.281
La -0.313 0.188 7.535
La -3.783 0.306 4.720
Co -2.027 1.036 2.194
Co -1.309 2.645 9.258
Ca 0.000 0.000 0.000
```

Properties
Size of the total moment ... 0.00 μB per formula unit
Space-group type ... C2/m, No. 12
Density ... 5.537 g/cm³
Crystal system ... monoclinic

---

two.
A relaxed structure of CaLa8Co2, computed with PBE.

```
11
Lattice="-0.955 0.238 -6.497 6.855 2.103 -0.930 -1.365 -8.279 -0.681" Properties=species:S:1:pos:R:3 pbc="T T T"
La 1.623 -1.271 -4.336
La -0.669 -5.766 -3.286
La 0.814 -3.182 -1.199
La 3.721 -2.756 -6.910
La 3.578 -0.021 -1.781
La 5.204 -0.172 -4.822
La 2.912 -4.667 -3.772
La 0.957 -5.917 -6.328
Co 4.058 -2.193 -3.155
Co 0.477 -3.745 -4.953
Ca 0.000 0.000 0.000
```

Properties
Size of the total moment ... 0.00 μB per formula unit
Space-group type ... C2/m, No. 12
Density ... 5.852 g/cm³
Crystal system ... monoclinic

---

The data favor two; the next most stable structure lies 5.2 kJ/mol of atoms above it.